Below is an optimized crystal structure of Mg2VO, with properties calculated at the PBE+U level.

Values from the calculation:
V: 19.80 A^3/atom
DFT total energy: -4.34 eV per atom
SG: No. 122

Cell: 6.0105 6.0105 6.0105 Å, 117.74 117.74 93.96°
Last column: nearest neighbours and their distance in Å.
Element x y z (fractional)
Mg: 0.3750 0.2251 0.3501  2 O 1.96
Mg: 0.7749 0.1250 0.1499  2 O 1.96
Mg: 0.8750 0.0249 0.6499  2 O 1.96
Mg: 0.9751 0.6250 0.8501  2 O 1.96
V: 0.2500 0.7500 0.5000  4 Mg 3.10
V: 0.5000 0.5000 0.0000  4 Mg 3.10
O: 0.0000 0.0000 0.0000  4 Mg 1.96
O: 0.7500 0.2500 0.5000  4 Mg 1.96